[1]
Sr2MgCu: optimized geometry, PBE-GGA.

Summary:
The value obtained for the uncorrected energy is -9.12 eV/cell. Its total magnetization is 0.000 Bohr magnetons per cell. Its space group is Amm2 (38).

Lattice parameters (Å, degrees): 4.4628 4.8962 6.6394 68.40 90.00 90.00
Positions (direct):
Mg (0.5000, 0.5684, 0.7385)
Cu (0.0000, 0.6909, 0.4937)
Sr (0.5000, 0.2657, 0.3428)
Sr (0.0000, 0.9750, 0.9250)

[2]
Ag2HgGe2: optimized geometry, PBE-GGA.

Summary:
The value obtained for the uncorrected energy is -13.89 eV/cell. Its total magnetization is 0.000 Bohr magnetons per cell. Its space group is I4/mmm (139).

Lattice parameters (Å, degrees): 4.4732 4.4732 6.2290 68.96 68.96 90.00
Positions (direct):
Ag (0.7500, 0.2500, 0.5000)
Ag (0.2500, 0.7500, 0.5000)
Ge (0.3850, 0.3850, 0.2300)
Ge (0.6150, 0.6150, 0.7700)
Hg (0.0000, 0.0000, 0.0000)

[3]
Pu2GeAs3Pd4: optimized geometry, PBE-GGA.

Summary:
The value obtained for the uncorrected energy is -74.29 eV/cell. Its total magnetization is 10.647 Bohr magnetons per cell. Its space group is P-4m2 (115).

Lattice parameters (Å, degrees): 4.2817 4.2817 10.4584 90.00 90.00 90.00
Site moments in Bohr magnetons follow the coordinates.
Positions (direct):
Pd (0.0000, 0.0000, 0.0000)  -0.03
Pd (0.5000, 0.0000, 0.6290)  0.00
Pd (0.0000, 0.5000, 0.3710)  0.00
Pd (0.5000, 0.5000, 0.0000)  -0.03
Ge (0.5000, 0.5000, 0.5000)  -0.01
As (0.5000, 0.0000, 0.8620)  -0.04
As (0.0000, 0.5000, 0.1380)  -0.04
As (0.0000, 0.0000, 0.5000)  -0.03
Pu (0.5000, 0.0000, 0.2461)  5.26
Pu (0.0000, 0.5000, 0.7539)  5.26

[4]
Nd4SbSeS2: optimized geometry, PBE-GGA.

Summary:
The value obtained for the uncorrected energy is -48.94 eV/cell. Its total magnetization is 0.000 Bohr magnetons per cell. Its space group is P2/m (10). For the raw formation energy, the calculation gives -1.751 eV per atom.

Lattice parameters (Å, degrees): 4.2120 7.3856 7.2898 70.80 90.00 90.00
Positions (direct):
Nd (0.0000, 0.7761, 0.7360)
Nd (0.5000, 0.2276, 0.7531)
Nd (0.0000, 0.2239, 0.2640)
Nd (0.5000, 0.7724, 0.2469)
Sb (0.5000, 0.5000, 0.0000)
S (0.5000, 0.0000, 0.5000)
S (0.0000, 0.0000, 0.0000)
Se (0.0000, 0.5000, 0.5000)

[5]
Y2SiNi: optimized geometry, PBE-GGA.

Summary:
The value obtained for the uncorrected energy is -53.49 eV/cell. Its total magnetization is 0.000 Bohr magnetons per cell. Its space group is P2_1/m (11). For the raw formation energy, the calculation gives -0.653 eV per atom.

Lattice parameters (Å, degrees): 4.0947 5.7819 7.7583 110.27 90.00 90.00
Positions (direct):
Si (0.7500, 0.6543, 0.2895)
Si (0.2500, 0.3457, 0.7105)
Y (0.2500, 0.7795, 0.5861)
Y (0.7500, 0.2228, 0.9433)
Y (0.2500, 0.7772, 0.0567)
Y (0.7500, 0.2205, 0.4139)
Ni (0.7500, 0.6087, 0.7779)
Ni (0.2500, 0.3913, 0.2221)

[6]
Na3PmCr2Se6: optimized geometry, PBE-GGA.

Summary:
The value obtained for the uncorrected energy is -61.57 eV/cell. Its total magnetization is 5.997 Bohr magnetons per cell. Its space group is C2/m (12). For the raw formation energy, the calculation gives -1.059 eV per atom.

Lattice parameters (Å, degrees): 6.7725 6.7725 7.3773 98.98 98.98 120.04
Site moments in Bohr magnetons follow the coordinates.
Positions (direct):
Se (0.2971, 0.2971, 0.7880)  -0.07
Se (0.4412, 0.0717, 0.2116)  -0.07
Se (0.5588, 0.9283, 0.7884)  -0.07
Se (0.7029, 0.7029, 0.2120)  -0.07
Se (0.0717, 0.4412, 0.2116)  -0.07
Se (0.9283, 0.5588, 0.7884)  -0.07
Pm (0.0000, 0.0000, 0.0000)  0.03
Na (0.5000, 0.5000, 0.5000)  0.00
Na (0.8412, 0.1588, 0.5000)  0.00
Na (0.1588, 0.8412, 0.5000)  0.00
Cr (0.3324, 0.6676, 0.0000)  2.99
Cr (0.6676, 0.3324, 0.0000)  2.99

[7]
Li2CuRh: optimized geometry, PBE-GGA.

Summary:
The value obtained for the uncorrected energy is -15.37 eV/cell. Its total magnetization is 0.001 Bohr magnetons per cell. Its space group is P4mm (99).

Lattice parameters (Å, degrees): 3.1556 3.1556 5.4810 90.00 90.00 90.00
Positions (direct):
Cu (0.5000, 0.5000, 0.7345)
Rh (0.0000, 0.0000, 0.5117)
Li (0.5000, 0.5000, 0.2643)
Li (0.0000, 0.0000, 0.9895)

[8]
GaBSe2Br: optimized geometry, PBE-GGA.

Summary:
The value obtained for the uncorrected energy is -13.41 eV/cell. Its total magnetization is 0.000 Bohr magnetons per cell. Its space group is P4/mmm (123). For the raw formation energy, the calculation gives 0.986 eV per atom.

Lattice parameters (Å, degrees): 4.9709 4.9709 5.2097 90.00 90.00 90.00
Positions (direct):
Se (0.0000, 0.5000, 0.0000)
Se (0.5000, 0.0000, 0.0000)
Ga (0.0000, 0.0000, 0.0000)
Br (0.0000, 0.0000, 0.5000)
B (0.5000, 0.5000, 0.5000)

[9]
PmSc2Rh: optimized geometry, PBE-GGA.

Summary:
The value obtained for the uncorrected energy is -53.37 eV/cell. Its total magnetization is 0.000 Bohr magnetons per cell. Its space group is Cmcm (63).

Lattice parameters (Å, degrees): 3.6668 6.1907 8.7286 90.00 90.00 107.21
Positions (direct):
Rh (0.2390, 0.4786, 0.2500)
Rh (0.7610, 0.5214, 0.7500)
Sc (0.6443, 0.2885, 0.4351)
Sc (0.3557, 0.7115, 0.9351)
Sc (0.3557, 0.7115, 0.5649)
Sc (0.6443, 0.2885, 0.0649)
Pm (0.0638, 0.1274, 0.7500)
Pm (0.9362, 0.8726, 0.2500)

[10]
LiYCu2: optimized geometry, PBE-GGA.

Summary:
The value obtained for the uncorrected energy is -16.57 eV/cell. Its total magnetization is 0.000 Bohr magnetons per cell. Its space group is P4mm (99).

Lattice parameters (Å, degrees): 3.3223 3.3178 6.5026 90.00 90.00 90.00
Positions (direct):
Cu (0.5000, 0.5000, 0.2351)
Cu (0.0000, 0.0000, 0.0514)
Y (0.5000, 0.5000, 0.7875)
Li (0.0000, 0.0000, 0.4261)

[11]
K2NiPt: optimized geometry, PBE-GGA.

Summary:
The value obtained for the uncorrected energy is -11.72 eV/cell. Its total magnetization is 0.451 Bohr magnetons per cell. Its space group is C2/m (12).

Lattice parameters (Å, degrees): 5.8289 5.8289 2.9887 90.08 90.08 119.34
Site moments in Bohr magnetons follow the coordinates.
Positions (direct):
K (0.5000, 0.5000, 0.0000)  -0.01
K (0.0000, 0.0000, 0.0000)  -0.01
Ni (0.5000, 0.0000, 0.5000)  0.46
Pt (0.0000, 0.5000, 0.5000)  0.04

[12]
MgBRu3: optimized geometry, PBE-GGA.

Summary:
The value obtained for the uncorrected energy is -23.36 eV/cell. Its total magnetization is 3.248 Bohr magnetons per cell. Its space group is Pm-3m (221).

Lattice parameters (Å, degrees): 4.4303 4.4303 4.4303 90.00 90.00 90.00
Site moments in Bohr magnetons follow the coordinates.
Positions (direct):
Ru (0.0000, 0.5000, 0.0000)  1.07
Ru (0.5000, 0.0000, 0.0000)  0.86
Ru (0.0000, 0.0000, 0.5000)  1.24
Mg (0.0000, 0.0000, 0.0000)  -0.01
B (0.5000, 0.5000, 0.5000)  -0.05

[13]
MnBe2Os: optimized geometry, PBE-GGA.

Summary:
The value obtained for the uncorrected energy is -28.39 eV/cell. Its total magnetization is 0.322 Bohr magnetons per cell. Its space group is P4mm (99).

Lattice parameters (Å, degrees): 2.7290 2.7290 5.5717 90.00 90.00 90.00
Site moments in Bohr magnetons follow the coordinates.
Positions (direct):
Be (0.5000, 0.5000, 0.2321)  -0.01
Be (0.0000, 0.0000, 0.0320)  0.00
Mn (0.0000, 0.0000, 0.4792)  0.40
Os (0.5000, 0.5000, 0.7567)  -0.07

[14]
UCrRh2: optimized geometry, PBE-GGA.

Summary:
The value obtained for the uncorrected energy is -36.86 eV/cell. Its total magnetization is 1.445 Bohr magnetons per cell. Its space group is P4/mmm (123).

Lattice parameters (Å, degrees): 3.9800 4.0021 4.0021 90.00 90.00 90.00
Site moments in Bohr magnetons follow the coordinates.
Positions (direct):
U (0.5000, 0.5000, 0.5000)  -0.61
Rh (0.0000, 0.5000, 0.0000)  0.06
Rh (0.0000, 0.0000, 0.5000)  0.06
Cr (0.5000, 0.0000, 0.0000)  1.82

[15]
SrZrTl2F8: optimized geometry, PBE-GGA.

Summary:
The value obtained for the uncorrected energy is -67.07 eV/cell. Its total magnetization is 0.000 Bohr magnetons per cell. Its space group is P2/m (10). For the raw formation energy, the calculation gives -3.095 eV per atom.

Lattice parameters (Å, degrees): 3.8918 6.7203 8.0703 90.00 90.00 90.09
Positions (direct):
F (0.9989, 0.1885, 0.7928)
F (0.5010, 0.8281, 0.0000)
F (0.0011, 0.8115, 0.7928)
F (0.5006, 0.2265, 0.5000)
F (0.9989, 0.1885, 0.2072)
F (0.4990, 0.1719, 0.0000)
F (0.4994, 0.7735, 0.5000)
F (0.0011, 0.8115, 0.2072)
Tl (0.5000, 0.5000, 0.2523)
Tl (0.5000, 0.5000, 0.7477)
Zr (0.0000, 0.0000, 0.0000)
Sr (0.0000, 0.0000, 0.5000)

[16]
In2Rh: optimized geometry, PBE-GGA.

Summary:
The value obtained for the uncorrected energy is -26.73 eV/cell. Its total magnetization is 0.000 Bohr magnetons per cell. Its space group is C2/m (12).

Lattice parameters (Å, degrees): 5.6584 5.6584 7.1212 74.98 74.98 32.34
Positions (direct):
Rh (0.5375, 0.5375, 0.2163)
Rh (0.4625, 0.4625, 0.7837)
In (0.8634, 0.8634, 0.5356)
In (0.1366, 0.1366, 0.4644)
In (0.1532, 0.1532, 0.8981)
In (0.8468, 0.8468, 0.1019)

[17]
Sc4ZnCoPt2: optimized geometry, PBE-GGA.

Summary:
The value obtained for the uncorrected energy is -52.38 eV/cell. Its total magnetization is 0.252 Bohr magnetons per cell. Its space group is R-3m (166).

Lattice parameters (Å, degrees): 4.6148 4.6148 8.0356 73.31 73.31 60.00
Site moments in Bohr magnetons follow the coordinates.
Positions (direct):
Sc (0.6206, 0.6206, 0.1381)  -0.01
Sc (0.1284, 0.1284, 0.6149)  -0.03
Sc (0.8716, 0.8716, 0.3851)  -0.03
Sc (0.3794, 0.3794, 0.8619)  -0.01
Zn (0.0000, 0.0000, 0.0000)  0.00
Pt (0.2499, 0.2499, 0.2504)  0.01
Pt (0.7501, 0.7501, 0.7496)  0.01
Co (0.5000, 0.5000, 0.5000)  0.37

[18]
Tb2NdSb: optimized geometry, PBE-GGA.

Summary:
The value obtained for the uncorrected energy is -40.83 eV/cell. Its total magnetization is 1.058 Bohr magnetons per cell. Its space group is Cmcm (63). For the raw formation energy, the calculation gives -0.566 eV per atom.

Lattice parameters (Å, degrees): 4.1336 6.5187 9.7402 90.00 90.00 108.49
Site moments in Bohr magnetons follow the coordinates.
Positions (direct):
Nd (0.9425, 0.8850, 0.2500)  0.09
Nd (0.0575, 0.1150, 0.7500)  0.09
Tb (0.6381, 0.2762, 0.4588)  0.09
Tb (0.3619, 0.7238, 0.9588)  0.09
Tb (0.3619, 0.7238, 0.5412)  0.09
Tb (0.6381, 0.2762, 0.0412)  0.09
Sb (0.7637, 0.5275, 0.7500)  0.00
Sb (0.2363, 0.4725, 0.2500)  0.00

[19]
YZrAu2: optimized geometry, PBE-GGA.

Summary:
The value obtained for the uncorrected energy is -24.15 eV/cell. Its total magnetization is 0.000 Bohr magnetons per cell. Its space group is Pm (6).

Lattice parameters (Å, degrees): 4.5771 3.6053 5.5898 75.45 90.00 90.00
Positions (direct):
Zr (0.5000, 0.7567, 0.8436)
Au (0.5000, 0.0440, 0.2964)
Au (0.0000, 0.1999, 0.9477)
Y (0.0000, 0.4994, 0.4123)

[20]
La15ScTl4: optimized geometry, PBE-GGA.

Summary:
The value obtained for the uncorrected energy is -93.31 eV/cell. Its total magnetization is 0.000 Bohr magnetons per cell. Its space group is P4/mmm (123).

Lattice parameters (Å, degrees): 5.0649 5.0649 25.6121 90.00 90.00 90.00
Positions (direct):
La (0.5000, 0.5000, 0.0000)
La (0.5000, 0.5000, 0.7996)
La (0.0000, 0.5000, 0.8993)
La (0.5000, 0.0000, 0.3011)
La (0.0000, 0.5000, 0.5000)
La (0.0000, 0.5000, 0.6989)
La (0.5000, 0.0000, 0.1007)
La (0.5000, 0.0000, 0.5000)
La (0.0000, 0.5000, 0.3011)
La (0.5000, 0.5000, 0.5990)
La (0.5000, 0.0000, 0.8993)
La (0.5000, 0.5000, 0.2004)
La (0.5000, 0.5000, 0.4010)
La (0.0000, 0.5000, 0.1007)
La (0.5000, 0.0000, 0.6989)
Tl (0.0000, 0.0000, 0.7975)
Tl (0.0000, 0.0000, 0.5994)
Tl (0.0000, 0.0000, 0.4006)
Tl (0.0000, 0.0000, 0.2025)
Sc (0.0000, 0.0000, 0.0000)

[21]
ZnRe2Cl: optimized geometry, PBE-GGA.

Summary:
The value obtained for the uncorrected energy is -27.20 eV/cell. Its total magnetization is 0.000 Bohr magnetons per cell. Its space group is R3m (160). For the raw formation energy, the calculation gives 0.204 eV per atom.

Lattice parameters (Å, degrees): 8.6978 8.6978 8.6978 19.17 19.17 19.17
Positions (direct):
Re (0.9992, 0.9992, 0.9992)
Re (0.2529, 0.2529, 0.2529)
Zn (0.5015, 0.5015, 0.5015)
Cl (0.7465, 0.7465, 0.7465)

[22]
Co2NiPb: optimized geometry, PBE-GGA.

Summary:
The value obtained for the uncorrected energy is -22.18 eV/cell. Its total magnetization is 2.214 Bohr magnetons per cell. Its space group is P4/mmm (123).

Lattice parameters (Å, degrees): 3.7928 3.7955 5.3978 45.32 90.00 90.00
Site moments in Bohr magnetons follow the coordinates.
Positions (direct):
Co (0.5000, 0.5000, 0.0000)  1.12
Co (0.0000, 0.0000, 0.0000)  1.10
Ni (0.5000, 0.5000, 0.5000)  0.15
Pb (0.0000, 0.0000, 0.5000)  -0.06

[23]
Pm9Sm4Tl11: optimized geometry, PBE-GGA.

Summary:
The value obtained for the uncorrected energy is -95.02 eV/cell. Its total magnetization is 0.000 Bohr magnetons per cell. Its space group is Cmmm (65).

Lattice parameters (Å, degrees): 3.6261 14.0611 14.0611 100.16 90.00 90.00
Positions (direct):
Sm (0.5000, 0.5700, 0.7366)
Sm (0.5000, 0.2634, 0.4300)
Sm (0.5000, 0.4300, 0.2634)
Sm (0.5000, 0.7366, 0.5700)
Tl (0.0000, 0.9337, 0.5849)
Tl (0.0000, 0.7682, 0.7682)
Tl (0.0000, 0.8259, 0.1741)
Tl (0.0000, 0.3627, 0.6373)
Tl (0.0000, 0.2318, 0.2318)
Tl (0.0000, 0.0663, 0.4151)
Tl (0.0000, 0.4151, 0.0663)
Tl (0.0000, 0.0000, 0.0000)
Tl (0.0000, 0.5849, 0.9337)
Tl (0.0000, 0.1741, 0.8259)
Tl (0.0000, 0.6373, 0.3627)
Pm (0.5000, 0.3791, 0.8571)
Pm (0.5000, 0.8571, 0.3791)
Pm (0.5000, 0.1429, 0.6209)
Pm (0.5000, 0.2065, 0.0286)
Pm (0.5000, 0.9714, 0.7935)
Pm (0.5000, 0.5000, 0.5000)
Pm (0.5000, 0.6209, 0.1429)
Pm (0.5000, 0.7935, 0.9714)
Pm (0.5000, 0.0286, 0.2065)

[24]
NdEr2Au: optimized geometry, PBE-GGA.

Summary:
The value obtained for the uncorrected energy is -18.83 eV/cell. Its total magnetization is 0.000 Bohr magnetons per cell. Its space group is P4/mmm (123).

Lattice parameters (Å, degrees): 3.6104 3.6104 8.5825 90.00 90.00 90.00
Positions (direct):
Nd (0.5000, 0.5000, 0.5000)
Er (0.0000, 0.0000, 0.8000)
Er (0.0000, 0.0000, 0.2000)
Au (0.5000, 0.5000, 0.0000)

[25]
SrNdNi2As2: optimized geometry, PBE-GGA.

Summary:
The value obtained for the uncorrected energy is -32.85 eV/cell. Its total magnetization is 0.000 Bohr magnetons per cell. Its space group is P-3m1 (164).

Lattice parameters (Å, degrees): 4.1181 4.1181 8.5416 90.00 90.00 120.00
Positions (direct):
Sr (0.0000, 0.0000, 0.0000)
As (0.6667, 0.3333, 0.7387)
As (0.3333, 0.6667, 0.2613)
Ni (0.6667, 0.3333, 0.2675)
Ni (0.3333, 0.6667, 0.7325)
Nd (0.0000, 0.0000, 0.5000)